## 1
{"formula": "MgCd3Cu", "functional": "GGA-PBE", "state": "relaxed", "cell": [[-3.5854, -2.8397, 4.7064], [4.6620, -4.3577, -1.5315], [3.2340, 5.6257, 1.7286]], "species": ["Mg", "Mg", "Cd", "Cd", "Cd", "Cd", "Cd", "Cd", "Cu", "Cu"], "frac_coords": [[0.7169, 0.0592, 0.7762], [0.2831, 0.9408, 0.2238], [0.8596, 0.0950, 0.3204], [0.2253, 0.4608, 0.3204], [0.7747, 0.5392, 0.6796], [0.6993, 0.4247, 0.1240], [0.1404, 0.9050, 0.6796], [0.3007, 0.5753, 0.8760], [0.6212, 0.7505, 0.3716], [0.3788, 0.2495, 0.6284]]}

## 2
{"formula": "MgCd3Cu", "functional": "GGA-PBE", "state": "relaxed", "cell": [[4.9865, 0.0000, 0.0000], [0.0000, 4.9865, 0.0000], [0.0000, 0.0000, 4.9865]], "species": ["Mg", "Cu", "Cd", "Cd", "Cd"], "frac_coords": [[0.5000, 0.5000, 0.5000], [0.0000, 0.0000, 0.0000], [0.0000, 0.5000, 0.0000], [0.0000, 0.0000, 0.5000], [0.5000, 0.0000, 0.0000]]}

Winner for stability: 1

## 1
{"formula": "Mg6CdCuO8", "functional": "GGA-PBE", "state": "relaxed", "cell": [[-0.8573, 4.1984, 0.8034], [-4.0057, -1.0751, 1.3437], [2.9633, -0.9413, 8.0806]], "species": ["Mg", "Mg", "Mg", "Mg", "Mg", "Mg", "Cd", "Cu", "O", "O", "O", "O", "O", "O", "O", "O"], "frac_coords": [[0.0000, 0.0000, 0.5000], [0.5000, 0.5000, 0.5000], [0.0000, 0.5000, 0.2536], [0.0000, 0.5000, 0.7464], [0.5000, 0.0000, 0.2536], [0.5000, 0.0000, 0.7464], [0.5000, 0.5000, 0.0000], [0.0000, 0.0000, 0.0000], [0.0000, 0.0000, 0.2511], [0.0000, 0.0000, 0.7489], [0.5000, 0.5000, 0.2664], [0.5000, 0.5000, 0.7336], [0.0000, 0.5000, 0.0000], [0.0000, 0.5000, 0.5000], [0.5000, 0.0000, 0.0000], [0.5000, 0.0000, 0.5000]]}

## 2
{"formula": "Mg6CdCuO8", "functional": "GGA-PBE", "state": "relaxed", "cell": [[-1.9952, 0.4232, -3.8664], [0.4045, -4.2992, -0.6793], [-7.6270, -1.3168, 3.7917]], "species": ["Mg", "Mg", "Mg", "Mg", "Mg", "Mg", "Cd", "Cu", "O", "O", "O", "O", "O", "O", "O", "O"], "frac_coords": [[0.5000, 0.5000, 0.0000], [0.5000, 0.5000, 0.5000], [0.0000, 0.5000, 0.2415], [0.0000, 0.5000, 0.7585], [0.5000, 0.0000, 0.2415], [0.5000, 0.0000, 0.7585], [0.0000, 0.0000, 0.5000], [0.0000, 0.0000, 0.0000], [0.0000, 0.0000, 0.2335], [0.0000, 0.0000, 0.7665], [0.5000, 0.5000, 0.2500], [0.5000, 0.5000, 0.7500], [0.0000, 0.5000, 0.0000], [0.0000, 0.5000, 0.5000], [0.5000, 0.0000, 0.0000], [0.5000, 0.0000, 0.5000]]}

Winner for stability: 2

## 1
{"formula": "MnCd2Cu", "functional": "GGA-PBE", "state": "relaxed", "cell": [[4.2199, 0.0000, 0.0000], [0.0000, 4.2187, 0.0000], [0.0000, 0.0000, 3.8821]], "species": ["Cd", "Cd", "Cu", "Mn"], "frac_coords": [[0.0000, 0.0000, 0.0000], [0.5000, 0.5000, 0.0000], [0.5000, 0.0000, 0.5000], [0.0000, 0.5000, 0.5000]]}

## 2
{"formula": "MnCd2Cu", "functional": "GGA-PBE", "state": "relaxed", "cell": [[-2.2972, 4.3111, 0.0500], [-4.1180, 2.3513, -1.1741], [-2.5031, -0.4877, 4.5040]], "species": ["Cd", "Cd", "Cu", "Mn"], "frac_coords": [[0.0035, 0.0035, 0.9947], [0.4965, 0.4965, 0.5053], [0.7500, 0.7500, 0.7500], [0.2500, 0.2500, 0.2500]]}

## 3
{"formula": "MnCd2Cu", "functional": "GGA-PBE", "state": "relaxed", "cell": [[-1.2319, -3.1640, 4.0400], [-1.6594, -4.8034, 1.4228], [3.6936, -2.7726, 1.1334]], "species": ["Cd", "Cd", "Cu", "Mn"], "frac_coords": [[0.9909, 0.9909, 0.0231], [0.7668, 0.7668, 0.7205], [0.5133, 0.5133, 0.5003], [0.2291, 0.2291, 0.2562]]}

## 4
{"formula": "MnCd2Cu", "functional": "GGA-PBE", "state": "relaxed", "cell": [[7.4374, 0.0000, 0.0000], [0.0000, 7.4374, 0.0000], [3.7187, 3.7187, 2.7756]], "species": ["Mn", "Mn", "Cu", "Cu", "Cd", "Cd", "Cd", "Cd"], "frac_coords": [[0.5000, 0.5000, 0.0000], [0.2500, 0.7500, 0.5000], [0.0000, 0.0000, 0.0000], [0.7500, 0.2500, 0.5000], [0.6455, 0.1250, 0.2500], [0.1045, 0.6250, 0.2500], [0.3750, 0.3545, 0.7500], [0.8750, 0.8955, 0.7500]]}

Winner for stability: 3

## 1
{"formula": "MnCd2Cu", "functional": "GGA-PBE", "state": "relaxed", "cell": [[-0.8778, 8.4480, -4.0722], [-3.7111, 7.6383, -4.0752], [-2.5449, 8.9107, -1.6869]], "species": ["Cd", "Cd", "Cu", "Mn"], "frac_coords": [[0.9975, 0.9975, 0.9975], [0.5025, 0.5025, 0.5025], [0.2500, 0.2500, 0.2500], [0.7500, 0.7500, 0.7500]]}

## 2
{"formula": "MnCd2Cu", "functional": "GGA-PBE", "state": "relaxed", "cell": [[3.1234, 0.0000, 0.0000], [0.0000, 3.1206, 0.0000], [0.0000, 0.0000, 7.0614]], "species": ["Cd", "Cd", "Cu", "Mn"], "frac_coords": [[0.0000, 0.0000, 0.0140], [0.0000, 0.0000, 0.4860], [0.5000, 0.5000, 0.2500], [0.5000, 0.5000, 0.7500]]}

Winner for stability: 2